# 1
Entry from Alexandria via LeMat-Bulk: an optimized crystal structure of Sc2BiH (PBE).

abc: 7.213 5.996 7.161
angles: 90.00 98.53 90.00
Fractional positions:
Sc (0.038, 0.120, 0.314)
Sc (0.038, 0.380, 0.814)
Sc (0.310, 0.650, 0.515)
Sc (0.310, 0.850, 0.015)
Sc (0.690, 0.150, 0.985)
Sc (0.690, 0.350, 0.485)
Sc (0.962, 0.620, 0.186)
Sc (0.962, 0.880, 0.686)
Bi (0.341, 0.134, 0.661)
Bi (0.341, 0.366, 0.161)
Bi (0.659, 0.634, 0.839)
Bi (0.659, 0.866, 0.339)
H (0.183, 0.669, 0.765)
H (0.183, 0.831, 0.265)
H (0.817, 0.169, 0.735)
H (0.817, 0.331, 0.235)

## Properties
For the total energy, the calculation gives -5.518 eV/atom. For the mass density, the calculation gives 6.5 g/cm³.

# 2
Entry from Alexandria via LeMat-Bulk: an optimized crystal structure of Y2ZrIn (PBE).

abc: 10.882 10.882 10.882
angles: 18.27 18.27 18.27
Fractional positions:
Y (0.249, 0.249, 0.249)
Y (0.751, 0.751, 0.751)
Zr (0.500, 0.500, 0.500)
In (0.000, 0.000, 0.000)

## Properties
As for the calculated formation energy: -0.47 eV per formula unit. For the mass density, the calculation gives 5.8 g/cm³.

# 3
Entry from Alexandria via LeMat-Bulk: an optimized crystal structure of Li4CeNp3Se8 (PBE).

abc: 8.050 8.050 8.050
angles: 61.61 61.61 61.61
Fractional positions:
Li (0.000, 0.000, 0.000)
Li (0.000, 0.500, 0.500)
Li (0.500, 0.000, 0.500)
Li (0.500, 0.500, 0.000)
Ce (0.500, 0.500, 0.500)
Np (0.000, 0.000, 0.500)
Np (0.000, 0.500, 0.000)
Np (0.500, 0.000, 0.000)
Se (0.245, 0.245, 0.751)
Se (0.245, 0.751, 0.245)
Se (0.249, 0.755, 0.755)
Se (0.251, 0.251, 0.251)
Se (0.749, 0.749, 0.749)
Se (0.751, 0.245, 0.245)
Se (0.755, 0.249, 0.755)
Se (0.755, 0.755, 0.249)

## Properties
The energy relative to the elements, uncorrected is -1.30 eV per atom. For the mass density, the calculation gives 6.6 g/cm³.

# 4
Entry from Alexandria via LeMat-Bulk: an optimized crystal structure of Ce3HfZr2P6 (PBE).

abc: 6.731 6.731 6.764
angles: 99.55 99.55 120.02
Fractional positions:
Ce (0.000, 0.000, 0.000)
Ce (0.333, 0.667, 0.000)
Ce (0.667, 0.333, 0.000)
Hf (0.500, 0.500, 0.500)
Zr (0.166, 0.834, 0.500)
Zr (0.834, 0.166, 0.500)
P (0.093, 0.424, 0.271)
P (0.246, 0.246, 0.730)
P (0.424, 0.093, 0.271)
P (0.576, 0.907, 0.729)
P (0.754, 0.754, 0.270)
P (0.907, 0.576, 0.729)

## Properties
As for the calculated formation energy: -17.46 eV per formula unit. For the mass density, the calculation gives 6.4 g/cm³.

# 5
Entry from Alexandria via LeMat-Bulk: an optimized crystal structure of Sm6Dy12Sc (PBE).

abc: 8.519 8.519 8.519
angles: 88.81 88.81 88.81
Fractional positions:
Sm (0.196, 0.758, 0.591)
Sm (0.242, 0.409, 0.804)
Sm (0.409, 0.804, 0.242)
Sm (0.591, 0.196, 0.758)
Sm (0.758, 0.591, 0.196)
Sm (0.804, 0.242, 0.409)
Dy (0.038, 0.940, 0.277)
Dy (0.060, 0.723, 0.962)
Dy (0.145, 0.486, 0.302)
Dy (0.277, 0.038, 0.940)
Dy (0.302, 0.145, 0.486)
Dy (0.486, 0.302, 0.145)
Dy (0.514, 0.698, 0.855)
Dy (0.698, 0.855, 0.514)
Dy (0.723, 0.962, 0.060)
Dy (0.855, 0.514, 0.698)
Dy (0.940, 0.277, 0.038)
Dy (0.962, 0.060, 0.723)
Sc (0.500, 0.500, 0.500)

## Properties
As for the calculated formation energy: 2.86 eV per formula unit. For the mass density, the calculation gives 7.8 g/cm³.

# 6
Entry from Alexandria via LeMat-Bulk: an optimized crystal structure of Pr4IrSe2Cl (PBE).

abc: 7.407 4.153 7.499
angles: 90.00 108.67 90.00
Fractional positions:
Pr (0.226, 0.000, 0.230)
Pr (0.237, 0.500, 0.750)
Pr (0.763, 0.500, 0.250)
Pr (0.774, 0.000, 0.770)
Ir (0.000, 0.500, 0.000)
Se (0.000, 0.000, 0.500)
Se (0.500, 0.500, 0.500)
Cl (0.500, 0.000, 0.000)

## Properties
The energy relative to the elements, uncorrected is -1.45 eV per atom. For the mass density, the calculation gives 7.2 g/cm³.

# 7
Entry from Alexandria via LeMat-Bulk: an optimized crystal structure of SrAcH8Rh2 (PBE).

abc: 6.995 6.995 6.995
angles: 42.61 42.61 42.61
Fractional positions:
Sr (0.000, 0.000, 0.000)
Ac (0.500, 0.500, 0.500)
H (0.023, 0.577, 0.577)
H (0.131, 0.131, 0.131)
H (0.423, 0.423, 0.977)
H (0.423, 0.977, 0.423)
H (0.577, 0.023, 0.577)
H (0.577, 0.577, 0.023)
H (0.869, 0.869, 0.869)
H (0.977, 0.423, 0.423)
Rh (0.220, 0.220, 0.220)
Rh (0.780, 0.780, 0.780)

## Properties
For the total energy, the calculation gives -4.218 eV/atom. For the mass density, the calculation gives 6.2 g/cm³.

# 8
Entry from Alexandria via LeMat-Bulk: an optimized crystal structure of KBa2Y (PBE).

abc: 6.692 6.692 6.692
angles: 60.00 60.00 60.00
Fractional positions:
K (0.000, 0.000, 0.000)
Ba (0.250, 0.250, 0.250)
Ba (0.750, 0.750, 0.750)
Y (0.500, 0.500, 0.500)

## Properties
As for the calculated formation energy: 1.38 eV per formula unit. For the mass density, the calculation gives 3.2 g/cm³.

# 9
Entry from Alexandria via LeMat-Bulk: an optimized crystal structure of SrPRuO2 (PBE).

abc: 4.218 4.218 6.352
angles: 90.00 90.00 90.00
Fractional positions:
Sr (0.000, 0.000, 0.000)
P (0.000, 0.000, 0.500)
Ru (0.500, 0.500, 0.500)
O (0.000, 0.500, 0.000)
O (0.500, 0.000, 0.000)

## Properties
The energy relative to the elements, uncorrected is 0.75 eV per atom. For the mass density, the calculation gives 3.7 g/cm³.

# 10
Entry from Alexandria via LeMat-Bulk: an optimized crystal structure of Ba3Ca12Cd (PBE).

abc: 5.804 5.804 20.786
angles: 90.00 90.00 90.00
Fractional positions:
Ba (0.000, 0.000, 0.000)
Ba (0.000, 0.000, 0.270)
Ba (0.000, 0.000, 0.730)
Ca (0.000, 0.500, 0.135)
Ca (0.000, 0.500, 0.404)
Ca (0.000, 0.500, 0.596)
Ca (0.000, 0.500, 0.865)
Ca (0.500, 0.000, 0.135)
Ca (0.500, 0.000, 0.404)
Ca (0.500, 0.000, 0.596)
Ca (0.500, 0.000, 0.865)
Ca (0.500, 0.500, 0.000)
Ca (0.500, 0.500, 0.273)
Ca (0.500, 0.500, 0.500)
Ca (0.500, 0.500, 0.727)
Cd (0.000, 0.000, 0.500)

## Properties
As for the calculated formation energy: 0.02 eV per formula unit. For the mass density, the calculation gives 2.4 g/cm³.

# 11
Entry from Alexandria via LeMat-Bulk: an optimized crystal structure of Sm2HoS3 (PBE).

abc: 3.972 3.972 9.702
angles: 90.00 90.00 120.00
Fractional positions:
Sm (0.333, 0.667, 0.168)
Sm (0.667, 0.333, 0.832)
Ho (0.000, 0.000, 0.500)
S (0.000, 0.000, 0.000)
S (0.333, 0.667, 0.657)
S (0.667, 0.333, 0.343)

## Properties
The energy relative to the elements, uncorrected is -2.01 eV per atom. For the mass density, the calculation gives 7.0 g/cm³.

# 12
Entry from Alexandria via LeMat-Bulk: an optimized crystal structure of SmPb4F10 (PBE).

abc: 7.258 7.258 7.258
angles: 100.43 100.43 129.63
Fractional positions:
Sm (0.000, 0.000, 0.000)
Pb (0.199, 0.600, 0.799)
Pb (0.400, 0.199, 0.600)
Pb (0.600, 0.801, 0.400)
Pb (0.801, 0.400, 0.201)
F (0.034, 0.124, 0.716)
F (0.124, 0.408, 0.090)
F (0.250, 0.750, 0.500)
F (0.318, 0.034, 0.910)
F (0.408, 0.318, 0.284)
F (0.592, 0.682, 0.716)
F (0.682, 0.966, 0.090)
F (0.750, 0.250, 0.500)
F (0.876, 0.592, 0.910)
F (0.966, 0.876, 0.284)

## Properties
The energy relative to the elements, uncorrected is -2.66 eV per atom. For the mass density, the calculation gives 7.3 g/cm³.

no.,spin magnetization (μB/cell)
1,0.0
2,0.0
3,13.0
4,0.0
5,0.0
6,0.0
7,0.0
8,0.0
9,4.9
10,0.0
11,0.0
12,0.0